Here is a geometry-optimized Ti4IrN2 structure from Alexandria. Energies are from PBE.

Properties
DOS at the Fermi energy (states/eV/atom): 0.51
Formation energy without anion corrections (meV per atom): -1297

Cell: 5.448 5.448 11.057 Å, 90.00 90.00 147.67°
Sites, in units of the cell vectors:
Ti: 0.000 0.000 0.000
Ti: 0.000 0.000 0.500
Ti: 0.264 0.736 0.604
Ti: 0.264 0.736 0.896
Ti: 0.414 0.586 0.250
Ti: 0.586 0.414 0.750
Ti: 0.736 0.264 0.104
Ti: 0.736 0.264 0.396
Ir: 0.106 0.894 0.250
Ir: 0.894 0.106 0.750
N: 0.366 0.634 0.059
N: 0.366 0.634 0.441
N: 0.634 0.366 0.559
N: 0.634 0.366 0.941